Record 1
VASP calculation (PBE-GGA) on a relaxed structure of GdDyTm2.

Computed properties:
DFT total energy   -4.55 eV/atom
Total magnetization   0.012 μB/atom
Calculated formation energy   0.006 eV per atom
Crystal system   orthorhombic

Unit cell a=5.5932 b=12.4145 c=7.1664 alpha=90.00 beta=90.00 gamma=90.00
Closest atoms and distances in Å follow each position.
Sites, in units of the cell vectors:
Gd: 0.2500 0.1667 0.0000  8 Tm 3.48-3.59, 4 Dy 3.48-3.58
Gd: 0.2500 0.6667 0.5000  8 Tm 3.48-3.59, 4 Dy 3.48-3.58
Gd: 0.7500 0.3333 0.5000  8 Tm 3.48-3.59, 4 Dy 3.48-3.58
Gd: 0.7500 0.8333 0.0000  8 Tm 3.48-3.59, 4 Dy 3.48-3.58
Dy: 0.2500 0.4171 0.2488  6 Tm 3.47-3.60, 2 Dy 3.47, 4 Gd 3.48-3.58
Dy: 0.2500 0.9171 0.7488  6 Tm 3.47-3.60, 2 Dy 3.47, 4 Gd 3.48-3.58
Dy: 0.7500 0.0829 0.7488  6 Tm 3.47-3.60, 2 Dy 3.47, 4 Gd 3.48-3.58
Dy: 0.7500 0.5829 0.2488  6 Tm 3.47-3.60, 2 Dy 3.47, 4 Gd 3.48-3.58
Tm: 0.2500 0.1658 0.5002  4 Dy 3.47-3.60, 4 Tm 3.47-3.60, 4 Gd 3.48-3.58
Tm: 0.2500 0.4170 0.7514  6 Tm 3.47-3.60, 4 Gd 3.49-3.59, 2 Dy 3.56-3.60
Tm: 0.2500 0.6658 0.0002  4 Dy 3.47-3.60, 4 Tm 3.47-3.60, 4 Gd 3.48-3.58
Tm: 0.2500 0.9170 0.2514  6 Tm 3.47-3.60, 4 Gd 3.49-3.59, 2 Dy 3.56-3.60
Tm: 0.7500 0.0830 0.2514  6 Tm 3.47-3.60, 4 Gd 3.49-3.59, 2 Dy 3.56-3.60
Tm: 0.7500 0.3342 0.0002  4 Dy 3.47-3.60, 4 Tm 3.47-3.60, 4 Gd 3.48-3.58
Tm: 0.7500 0.5830 0.7514  6 Tm 3.47-3.60, 4 Gd 3.49-3.59, 2 Dy 3.56-3.60
Tm: 0.7500 0.8342 0.5002  4 Dy 3.47-3.60, 4 Tm 3.47-3.60, 4 Gd 3.48-3.58



Record 2
VASP calculation (PBE-GGA) on a relaxed structure of BaHg4.

Computed properties:
DFT total energy   -0.95 eV/atom
Crystal system   tetragonal

Unit cell a=4.9714 b=4.9714 c=12.0613 alpha=90.00 beta=90.00 gamma=90.00
Closest atoms and distances in Å follow each position.
Sites, in units of the cell vectors:
Ba: 0.0000 0.0000 0.0000  16 Hg 3.79-3.91
Ba: 0.5000 0.5000 0.5000  16 Hg 3.79-3.91
Hg: 0.0000 0.0000 0.3826  5 Hg 2.83-2.96
Hg: 0.0000 0.0000 0.6174  5 Hg 2.83-2.96
Hg: 0.0000 0.5000 0.2500  4 Hg 2.96
Hg: 0.0000 0.5000 0.7500  4 Hg 2.96
Hg: 0.5000 0.0000 0.2500  4 Hg 2.96
Hg: 0.5000 0.0000 0.7500  4 Hg 2.96
Hg: 0.5000 0.5000 0.1174  5 Hg 2.83-2.96
Hg: 0.5000 0.5000 0.8826  5 Hg 2.83-2.96



Record 3
VASP calculation (PBE-GGA) on a relaxed structure of BeTcAu.

Computed properties:
DFT total energy   -5.39 eV/atom
Total magnetization   0.513 μB/atom
Energy above the lowest structure with this stoichiometry   0 meV per atom
Crystal system   cubic

Unit cell a=5.6110 b=5.6110 c=5.6110 alpha=90.00 beta=90.00 gamma=90.00
Closest atoms and distances in Å follow each position.
Sites, in units of the cell vectors:
Be: 0.0000 0.0000 0.0000  4 Tc 2.43, 4 Au 2.43
Be: 0.0000 0.5000 0.5000  4 Tc 2.43, 4 Au 2.43
Be: 0.5000 0.0000 0.5000  4 Tc 2.43, 4 Au 2.43
Be: 0.5000 0.5000 0.0000  4 Tc 2.43, 4 Au 2.43
Tc: 0.2500 0.2500 0.2500  4 Be 2.43
Tc: 0.2500 0.7500 0.7500  4 Be 2.43
Tc: 0.7500 0.2500 0.7500  4 Be 2.43
Tc: 0.7500 0.7500 0.2500  4 Be 2.43
Au: 0.2500 0.2500 0.7500  4 Be 2.43
Au: 0.2500 0.7500 0.2500  4 Be 2.43
Au: 0.7500 0.2500 0.2500  4 Be 2.43
Au: 0.7500 0.7500 0.7500  4 Be 2.43



Record 4
VASP calculation (PBE-GGA) on a relaxed structure of TmNbN2O.

Computed properties:
DFT total energy   -8.68 eV/atom
Total magnetization   0.000 μB/atom
Crystal system   hexagonal

Unit cell a=5.7084 b=5.7084 c=13.9892 alpha=90.00 beta=90.00 gamma=120.00
Closest atoms and distances in Å follow each position.
Sites, in units of the cell vectors:
Tm: 0.0000 0.0000 0.2500  6 N 2.67, 6 O 2.86
Tm: 0.0000 0.0000 0.7500  6 N 2.67, 6 O 2.86
Tm: 0.3333 0.6667 0.1305  3 O 2.26
Tm: 0.3333 0.6667 0.3695  3 O 2.26
Tm: 0.6667 0.3333 0.6305  3 O 2.26
Tm: 0.6667 0.3333 0.8695  3 O 2.26
Nb: 0.0000 0.0000 0.0000  6 N 2.04
Nb: 0.0000 0.0000 0.5000  6 N 2.04
Nb: 0.3333 0.6667 0.6449  3 N 1.88
Nb: 0.3333 0.6667 0.8551  3 N 1.88
Nb: 0.6667 0.3333 0.1449  3 N 1.88
Nb: 0.6667 0.3333 0.3551  3 N 1.88
N: 0.1565 0.3130 0.5946  2 Nb 1.88-2.04
N: 0.1565 0.3130 0.9054  2 Nb 1.88-2.04
N: 0.1565 0.8435 0.5946  2 Nb 1.88-2.04
N: 0.1565 0.8435 0.9054  2 Nb 1.88-2.04
N: 0.3130 0.1565 0.0946  2 Nb 1.88-2.04
N: 0.3130 0.1565 0.4054  2 Nb 1.88-2.04
N: 0.6869 0.8435 0.5946  2 Nb 1.88-2.04
N: 0.6869 0.8435 0.9054  2 Nb 1.88-2.04
N: 0.8435 0.1565 0.0946  2 Nb 1.88-2.04
N: 0.8435 0.1565 0.4054  2 Nb 1.88-2.04
N: 0.8435 0.6869 0.0946  2 Nb 1.88-2.04
N: 0.8435 0.6869 0.4054  2 Nb 1.88-2.04
O: 0.0252 0.5126 0.2500  2 Tm 2.26, 2 Nb 2.30
O: 0.4874 0.5126 0.2500  2 Tm 2.26, 2 Nb 2.30
O: 0.4874 0.9748 0.2500  2 Tm 2.26, 2 Nb 2.30
O: 0.5126 0.0252 0.7500  2 Tm 2.26, 2 Nb 2.30
O: 0.5126 0.4874 0.7500  2 Tm 2.26, 2 Nb 2.30
O: 0.9748 0.4874 0.7500  2 Tm 2.26, 2 Nb 2.30



Record 5
VASP calculation (PBE-GGA) on a relaxed structure of Sc2Tc3Ag.

Computed properties:
DFT total energy   -7.74 eV/atom
Total magnetization   0.014 μB/atom
Calculated formation energy   0.017 eV per atom
Crystal system   tetragonal

Unit cell a=3.2135 b=3.2135 c=9.7614 alpha=90.00 beta=90.00 gamma=90.00
Closest atoms and distances in Å follow each position.
Sites, in units of the cell vectors:
Sc: 0.0000 0.0000 0.0000  8 Tc 2.69-2.84
Sc: 0.5000 0.5000 0.4929  5 Tc 2.86-3.11, 4 Ag 2.91
Tc: 0.0000 0.0000 0.3146  4 Tc 2.66, 4 Sc 2.86
Tc: 0.5000 0.5000 0.1738  4 Tc 2.66, 4 Sc 2.84
Tc: 0.5000 0.5000 0.8533  4 Sc 2.69, 4 Ag 2.83
Ag: 0.0000 0.0000 0.6800  4 Tc 2.83, 5 Sc 2.91-3.12



Record 6
VASP calculation (PBE-GGA) on a relaxed structure of Er2TmIn3Pd2Au.

Computed properties:
DFT total energy   -4.71 eV/atom
Total magnetization   0.001 μB/atom
Crystal system   orthorhombic

Unit cell a=3.7572 b=7.7875 c=7.7875 alpha=119.93 beta=90.00 gamma=90.00
Closest atoms and distances in Å follow each position.
Sites, in units of the cell vectors:
Er: 0.0000 0.2019 0.7981  4 Pd 3.03, 6 In 3.15-3.36, 1 Au 3.15
Er: 0.0000 0.7981 0.2019  4 Pd 3.03, 6 In 3.15-3.36, 1 Au 3.15
Tm: 0.0000 0.6058 0.6058  4 Pd 3.02, 1 Au 3.14, 6 In 3.15-3.35
In: 0.5000 0.2019 0.4740  2 Au 2.83, 2 Pd 2.86-2.87, 2 Er 3.15
In: 0.5000 0.4740 0.2019  2 Au 2.83, 2 Pd 2.86-2.87, 2 Er 3.15
In: 0.5000 0.9298 0.9298  2 Au 2.84, 2 Pd 2.86, 2 Tm 3.15
Pd: 0.5000 0.5356 0.8679  3 In 2.86-2.87, 2 Tm 3.02, 4 Er 3.03
Pd: 0.5000 0.8679 0.5356  3 In 2.86-2.87, 2 Tm 3.02, 4 Er 3.03
Au: 0.0000 0.2024 0.2024  6 In 2.83-2.84, 1 Tm 3.14, 2 Er 3.15



Record 7
VASP calculation (PBE-GGA) on a relaxed structure of ZnIn3Br6.

Computed properties:
DFT total energy   -2.60 eV/atom
Crystal system   cubic

Unit cell a=7.7191 b=7.7191 c=7.7191 alpha=60.00 beta=60.00 gamma=60.00
Closest atoms and distances in Å follow each position.
Sites, in units of the cell vectors:
Zn: 0.0000 0.0000 0.0000  6 Br 2.64
In: 0.2500 0.2500 0.2500  12 Br 3.86
In: 0.5000 0.5000 0.5000  6 Br 2.82
In: 0.7500 0.7500 0.7500  12 Br 3.86
Br: 0.2418 0.2418 0.7582  1 Zn 2.64, 1 In 2.82
Br: 0.2418 0.7582 0.2418  1 Zn 2.64, 1 In 2.82
Br: 0.2418 0.7582 0.7582  1 Zn 2.64, 1 In 2.82
Br: 0.7582 0.2418 0.2418  1 Zn 2.64, 1 In 2.82
Br: 0.7582 0.2418 0.7582  1 Zn 2.64, 1 In 2.82
Br: 0.7582 0.7582 0.2418  1 Zn 2.64, 1 In 2.82



Record 8
VASP calculation (PBE-GGA) on a relaxed structure of NpAl8Fe4.

Computed properties:
DFT total energy   -6.10 eV/atom
Total magnetization   0.411 μB/atom
Crystal system   tetragonal

Unit cell a=6.6377 b=6.6377 c=6.6377 alpha=98.09 beta=98.09 gamma=135.95
Closest atoms and distances in Å follow each position.
Sites, in units of the cell vectors:
Np: 0.0000 0.0000 0.0000  12 Al 2.96-3.14
Al: 0.0000 0.3403 0.3403  4 Fe 2.63, 5 Al 2.70-2.81
Al: 0.0000 0.6597 0.6597  4 Fe 2.63, 5 Al 2.70-2.81
Al: 0.2808 0.5000 0.7808  4 Fe 2.52, 6 Al 2.70-2.81
Al: 0.3403 0.0000 0.3403  4 Fe 2.63, 5 Al 2.70-2.81
Al: 0.5000 0.2808 0.7808  4 Fe 2.52, 6 Al 2.70-2.81
Al: 0.5000 0.7192 0.2192  4 Fe 2.52, 6 Al 2.70-2.81
Al: 0.6597 0.0000 0.6597  4 Fe 2.63, 5 Al 2.70-2.81
Al: 0.7192 0.5000 0.2192  4 Fe 2.52, 6 Al 2.70-2.81
Fe: 0.0000 0.0000 0.5000  2 Fe 2.49, 8 Al 2.52-2.63
Fe: 0.0000 0.5000 0.0000  2 Fe 2.49, 8 Al 2.52-2.63
Fe: 0.5000 0.0000 0.0000  2 Fe 2.49, 8 Al 2.52-2.63
Fe: 0.5000 0.5000 0.5000  2 Fe 2.49, 8 Al 2.52-2.63